Here is a relaxed ReTePbO2 crystal from Alexandria via LeMat-Bulk. Energies are from PBE-GGA.

Computed properties:
* raw total energy: -6.265 eV per atom

abc: 3.9632 3.9632 6.2327
angles: 90.00 90.00 90.00
Space group P4/mmm (No. 123)
Symmetry-distinct sites (fractional):
Re  0.0000  0.0000  0.0000
Te  0.5000  0.5000  0.5000
Pb  0.0000  0.0000  0.5000
O  0.0000  0.5000  0.0000